1.
# CeNd2Ru

CeNd2Ru after structural relaxation (PBE, Alexandria via LeMat-Bulk).

Unit cell a=10.9648 b=10.9648 c=10.9648 alpha=18.53 beta=18.53 gamma=18.53
With the nearest neighbours (Å) after each atom.
Fractional positions:
Ce  0.0000  0.0000  0.0000  2 Nd 3.39, 6 Ce 3.53
Nd  0.1048  0.1048  0.1048  3 Ru 2.85
Nd  0.8952  0.8952  0.8952  3 Ru 2.85
Ru  0.5000  0.5000  0.5000  6 Nd 2.85

The final energy is -5.941 eV/atom. As for the space group: R-3m, No. 166. The energy of formation comes out at 0.2452 eV/atom.

2.
# CeNd3Ru8

CeNd3Ru8 after structural relaxation (PBE, Alexandria via LeMat-Bulk).

Unit cell a=9.4133 b=9.4133 c=9.4133 alpha=33.31 beta=33.31 gamma=33.31
With the nearest neighbours (Å) after each atom.
Fractional positions:
Ce  0.0000  0.0000  0.0000  12 Ru 3.16, 4 Nd 3.31-3.33
Nd  0.1250  0.1250  0.1250  12 Ru 3.16-3.20, 3 Nd 3.31, 1 Ce 3.33
Nd  0.5003  0.5003  0.5003  12 Ru 3.17-3.20, 4 Nd 3.31-3.33
Nd  0.6252  0.6252  0.6252  12 Ru 3.16-3.17, 3 Ce 3.31, 1 Nd 3.33
Ru  0.0625  0.0625  0.5647  6 Ru 2.69-2.73
Ru  0.0616  0.5621  0.5621  6 Ru 2.70-2.72
Ru  0.0625  0.5647  0.0625  6 Ru 2.69-2.73
Ru  0.3125  0.3125  0.3125  6 Ru 2.70
Ru  0.5621  0.0616  0.5621  6 Ru 2.70-2.72
Ru  0.5621  0.5621  0.0616  6 Ru 2.70-2.72
Ru  0.5647  0.0625  0.0625  6 Ru 2.69-2.73
Ru  0.8124  0.8124  0.8124  6 Ru 2.72-2.73

The final energy is -8.045 eV/atom. As for the space group: R3m, No. 160. The energy of formation comes out at -0.1744 eV/atom.

3.
# CeNd3Ru

CeNd3Ru after structural relaxation (PBE, Alexandria via LeMat-Bulk).

Unit cell a=5.5475 b=5.5475 c=5.5475 alpha=90.00 beta=90.00 gamma=90.00
With the nearest neighbours (Å) after each atom.
Fractional positions:
Ce  0.0000  0.0000  0.0000  12 Nd 3.92
Nd  0.0000  0.5000  0.5000  2 Ru 2.77
Nd  0.5000  0.0000  0.5000  2 Ru 2.77
Nd  0.5000  0.5000  0.0000  2 Ru 2.77
Ru  0.5000  0.5000  0.5000  6 Nd 2.77

The final energy is -5.796 eV/atom. As for the space group: Pm-3m, No. 221. The energy of formation comes out at 0.1062 eV/atom.